Entry from Alexandria: an optimized crystal structure of OsW2Au (PBE). Values from VASP.

Computed properties:
- total energy (eV per atom) = -9.407
- E_form (kJ/mol of atoms) = 67.22
- energy above the most stable polymorph in this dataset (meV per atom) = 491
- SG = Fm-3m
- total moment (μB per atom) = 0.000

Quantum ESPRESSO input file:
```
&SYSTEM
  ibrav = 0, nat = 4, ntyp = 3
/
ATOMIC_SPECIES
W 183.84 W.upf
Au 196.97 Au.upf
Os 190.23 Os.upf
CELL_PARAMETERS angstrom
2.0622 -3.6420 -1.6857
-2.3643 -3.0538 -2.3331
0.5992 -0.3939 -4.4547
ATOMIC_POSITIONS angstrom
W 0.0743 -1.7724 -2.1183
W 0.2228 -5.3173 -6.3550
Au 0.1486 -3.5449 -4.2367
Os 0.0000 0.0000 0.0000
```

---

Entry from Alexandria: an optimized crystal structure of Dy3Si4Au7 (PBE). Values from VASP.

Computed properties:
- formation energy from raw total energies (eV per atom) = -0.59
- total energy (eV per atom) = -4.761
- SG = C2/m
- total moment (μB per atom) = 0.000

Quantum ESPRESSO input file:
```
&SYSTEM
  ibrav = 0, nat = 14, ntyp = 3
/
ATOMIC_SPECIES
Si 28.09 Si.upf
Au 196.97 Au.upf
Dy 162.50 Dy.upf
CELL_PARAMETERS angstrom
-3.5254 1.5857 -1.9001
-3.9759 -6.5875 -3.0031
-6.3248 -2.1308 5.0741
ATOMIC_POSITIONS angstrom
Si -5.0019 -1.8694 2.8380
Si -5.5357 -2.3809 -1.4808
Si -8.8241 -5.2632 -2.6671
Si -8.2904 -4.7516 1.6517
Au -6.0146 -1.0278 0.5371
Au -6.2095 -4.7586 -2.2148
Au -7.6165 -2.3740 2.3857
Au -3.4827 -3.8764 -1.6556
Au -7.8114 -6.1048 -0.3662
Au 0.0000 0.0000 0.0000
Au -10.3433 -3.2562 1.8265
Dy -3.0194 -1.1266 -0.2203
Dy -10.8066 -6.0060 0.3912
Dy -5.1503 -4.3592 1.0355
```

---

Entry from Alexandria: an optimized crystal structure of Zn2Te2Au (PBE). Values from VASP.

Computed properties:
- formation energy from raw total energies (eV per atom) = 0.33
- total energy (eV per atom) = -2.088
- SG = I4/mmm
- total moment (μB per atom) = 0.000

Quantum ESPRESSO input file:
```
&SYSTEM
  ibrav = 0, nat = 5, ntyp = 3
/
ATOMIC_SPECIES
Au 196.97 Au.upf
Zn 65.41 Zn.upf
Te 127.60 Te.upf
CELL_PARAMETERS angstrom
-0.1013 -4.0662 -2.2118
3.2422 1.5166 -2.9368
5.7026 -3.2924 0.9457
ATOMIC_POSITIONS angstrom
Au 0.0000 0.0000 0.0000
Zn 2.4086 -1.6841 -1.8603
Zn 6.4348 -4.1579 -2.3426
Te 3.5858 -4.3167 -1.9202
Te 5.2576 -1.5253 -2.2827
```

---

Entry from Alexandria: an optimized crystal structure of MnCd2Hg (PBE). Values from VASP.

Computed properties:
- total energy (eV per atom) = -2.596
- E_form (kJ/mol of atoms) = 22.18
- SG = R3m
- total moment (μB per atom) = 1.004

Quantum ESPRESSO input file:
```
&SYSTEM
  ibrav = 0, nat = 4, ntyp = 3
/
ATOMIC_SPECIES
Cd 112.41 Cd.upf
Hg 200.59 Hg.upf
Mn 54.94 Mn.upf
CELL_PARAMETERS angstrom
-6.0194 -7.8882 3.8786
-3.4780 -9.4852 3.3815
-3.8220 -7.9440 5.9820
ATOMIC_POSITIONS angstrom
Cd -3.3327 -6.3349 3.3134
Cd -0.1200 -0.2281 0.1193
Hg -6.5394 -12.4302 6.5015
Mn -9.9869 -18.9830 9.9289
```

---

Entry from Alexandria: an optimized crystal structure of GaNiAs3 (PBE). Values from VASP.

Computed properties:
- total energy (eV per atom) = -4.140
- E_form (kJ/mol of atoms) = 39.65
- energy above the most stable polymorph in this dataset (meV per atom) = 0
- SG = Pm-3m
- total moment (μB per atom) = 0.000

Quantum ESPRESSO input file:
```
&SYSTEM
  ibrav = 0, nat = 5, ntyp = 3
/
ATOMIC_SPECIES
As 74.92 As.upf
Ni 58.69 Ni.upf
Ga 69.72 Ga.upf
CELL_PARAMETERS angstrom
-4.1199 1.0037 -1.9562
-1.0574 -4.5474 -0.1063
-1.9277 0.3492 4.2391
ATOMIC_POSITIONS angstrom
As -2.0600 0.5019 -0.9781
As -0.5287 -2.2737 -0.0531
As -0.9638 0.1746 2.1196
Ni 0.0000 0.0000 0.0000
Ga -3.5525 -1.5972 1.0883
```

---

Entry from Alexandria: an optimized crystal structure of Ce2PrErIn4 (PBE). Values from VASP.

Computed properties:
- total energy (eV per atom) = -4.411
- E_form (kJ/mol of atoms) = -37.71
- SG = R-3m
- total moment (μB per atom) = 0.242

Quantum ESPRESSO input file:
```
&SYSTEM
  ibrav = 0, nat = 8, ntyp = 4
/
ATOMIC_SPECIES
In 114.82 In.upf
Er 167.26 Er.upf
Ce 140.12 Ce.upf
Pr 140.91 Pr.upf
CELL_PARAMETERS angstrom
5.4288 0.0000 0.0000
2.7144 4.7015 0.0000
2.7144 1.5672 8.9034
ATOMIC_POSITIONS angstrom
In 5.4288 3.1343 7.7420
In 2.7144 1.5672 5.5249
In 5.4288 3.1343 1.1614
In 8.1432 4.7015 3.3785
Er 5.4288 3.1343 4.4517
Ce 2.7144 1.5672 2.2557
Ce 8.1432 4.7015 6.6477
Pr 0.0000 0.0000 0.0000
```

---

- Which value of total moment does entry 3 give?
  0.000 μB per atom